1.
Material: Ca3CO
Method: DFT, GGA-PBE
State: relaxed

```
Ca3CO
1.0
4.541 0.000 0.000
0.000 4.541 0.000
0.000 0.000 4.541
Ca C O
3 1 1
Direct
0.000 0.000 0.500
0.500 0.000 0.000
0.000 0.500 0.000
0.500 0.500 0.500
0.000 0.000 0.000
```

Properties
Volume (A^3/atom): 18.72
Uncorrected energy (eV per cell): -23.38
ρ (g/cm³): 2.630
Crystal system: cubic
ΔE_f (raw) (eV per atom): -0.638
Distance to the lowest polymorph of the same formula (eV per atom): 0.000



2.
Material: Cr2TcSb
Method: DFT, GGA-PBE
State: relaxed

```
Cr2TcSb
1.0
4.602 0.000 0.002
-1.289 4.418 0.002
-0.003 -0.005 2.994
Tc Cr Sb
1 2 1
Direct
0.000 0.500 0.500
0.500 0.500 0.000
0.000 0.000 0.000
0.500 0.000 0.500
```

Properties
Volume (A^3/atom): 15.22
Uncorrected energy (eV per cell): -32.34
ρ (g/cm³): 8.829
Crystal system: orthorhombic
ΔE_f (raw) (eV per atom): 0.348